(i)
VASP calculation (PBE) on a relaxed Er8In crystal.

Computed properties:
Volume in Å³ per cell: 268.4
M_tot in μB per formula unit: 1.76

Cell: 3.807 8.609 8.609 Å, 87.20 77.23 77.23°
Last column: magnetic moment on the atom in μB.
Fractional positions:
Er: 0.660 0.680 0.000  0.24
In: 0.000 0.000 0.000  0.01
Er: 0.340 0.320 0.000  0.24
Er: 0.660 0.000 0.680  0.24
Er: 0.338 0.662 0.662  0.09
Er: 0.000 0.662 0.338  0.09
Er: 0.000 0.338 0.662  0.09
Er: 0.340 0.000 0.320  0.24
Er: 0.662 0.338 0.338  0.09

***

(ii)
VASP calculation (PBE) on a relaxed Er8In crystal.

Computed properties:
Volume in Å³ per cell: 266.0
M_tot in μB per formula unit: 0.00

Cell: 4.849 7.793 7.793 Å, 84.45 71.87 71.87°
Fractional positions:
Er: 0.662 0.000 0.675
Er: 0.000 0.335 0.665
Er: 0.338 0.325 0.000
Er: 0.662 0.675 0.000
Er: 0.338 0.000 0.325
Er: 0.665 0.335 0.335
Er: 0.000 0.665 0.335
Er: 0.335 0.665 0.665
In: 0.000 0.000 0.000

***

Tell me which of them is the most stable. Sure, it is (ii).

***

(i)
VASP calculation (PBE) on a relaxed ErIn5 crystal.

Computed properties:
Volume in Å³ per cell: 157.3
M_tot in μB per formula unit: 0.00

Cell: 6.036 5.724 5.750 Å, 101.09 121.66 68.50°
Fractional positions:
Er: 0.972 0.000 0.944
In: 0.807 0.500 0.614
In: 0.472 0.500 0.945
In: 0.309 0.000 0.619
In: 0.635 0.000 0.270
In: 0.138 0.500 0.276

***

(ii)
VASP calculation (PBE) on a relaxed ErIn5 crystal.

Computed properties:
Volume in Å³ per cell: 153.7
M_tot in μB per formula unit: 0.00

Cell: 4.553 4.613 7.672 Å, 107.50 90.00 90.00°
Fractional positions:
In: 0.000 0.337 0.674
In: 0.500 0.168 0.335
In: 0.000 0.663 0.326
In: 0.500 0.500 0.000
Er: 0.000 0.000 0.000
In: 0.500 0.832 0.665

***

Tell me which of them is the most stable. Sure, it is (ii).

***

(i)
VASP calculation (PBE) on a relaxed Er5In3 crystal.

Computed properties:
Volume in Å³ per cell: 219.9
M_tot in μB per formula unit: 0.00

Cell: 5.073 6.676 6.676 Å, 103.46 90.00 90.00°
Fractional positions:
Er: 0.500 0.715 0.715
In: 0.500 0.789 0.211
Er: 0.000 0.500 0.000
Er: 0.000 0.000 0.500
In: 0.500 0.211 0.789
Er: 0.000 0.000 0.000
Er: 0.500 0.285 0.285
In: 0.000 0.500 0.500

***

(ii)
VASP calculation (PBE) on a relaxed Er5In3 crystal.

Computed properties:
Volume in Å³ per cell: 451.6
M_tot in μB per formula unit: 0.00

Cell: 8.013 8.013 9.032 Å, 116.33 116.33 90.00°
Fractional positions:
Er: 0.000 0.000 0.000
Er: 0.813 0.313 0.305
Er: 0.492 0.992 0.305
Er: 0.008 0.187 0.695
Er: 0.500 0.500 0.000
In: 0.867 0.367 0.000
Er: 0.313 0.492 0.305
Er: 0.508 0.008 0.695
In: 0.133 0.633 0.000
Er: 0.992 0.813 0.305
In: 0.250 0.250 0.500
In: 0.367 0.133 0.000
Er: 0.687 0.508 0.695
In: 0.750 0.750 0.500
Er: 0.187 0.687 0.695
In: 0.633 0.867 0.000

***

(iii)
VASP calculation (PBE) on a relaxed Er5In3 crystal.

Computed properties:
Volume in Å³ per cell: 453.3
M_tot in μB per formula unit: 0.00

Cell: 8.992 8.992 6.473 Å, 90.00 90.00 120.00°
Fractional positions:
In: 0.597 0.000 0.750
Er: 0.000 0.235 0.750
In: 0.403 0.403 0.750
In: 0.000 0.403 0.250
Er: 0.235 0.235 0.250
Er: 0.235 0.000 0.750
Er: 0.765 0.765 0.750
In: 0.403 0.000 0.250
Er: 0.667 0.333 0.500
Er: 0.333 0.667 0.000
In: 0.000 0.597 0.750
Er: 0.333 0.667 0.500
Er: 0.667 0.333 0.000
Er: 0.000 0.765 0.250
Er: 0.765 0.000 0.250
In: 0.597 0.597 0.250

***

Tell me which of them is the most stable. Sure, it is (iii).

***

(i)
VASP calculation (PBE) on a relaxed Er2In3 crystal.

Computed properties:
Volume in Å³ per cell: 256.6
M_tot in μB per formula unit: 0.00

Cell: 4.581 7.484 7.484 Å, 90.00 90.00 90.00°
Fractional positions:
In: 0.000 0.000 0.000
In: 0.000 0.398 0.815
Er: 0.500 0.874 0.304
In: 0.500 0.500 0.500
Er: 0.500 0.126 0.696
In: 0.000 0.815 0.602
Er: 0.500 0.696 0.874
In: 0.000 0.602 0.185
Er: 0.500 0.304 0.126
In: 0.000 0.185 0.398

***

(ii)
VASP calculation (PBE) on a relaxed Er2In3 crystal.

Computed properties:
Volume in Å³ per cell: 131.4
M_tot in μB per formula unit: 0.00

Cell: 5.051 5.051 6.626 Å, 67.60 67.60 60.00°
Fractional positions:
Er: 0.604 0.604 0.189
In: 0.000 0.000 0.000
In: 0.807 0.807 0.578
Er: 0.396 0.396 0.811
In: 0.193 0.193 0.422

***

Tell me which of them is the most stable. Sure, it is (i).

***

(i)
VASP calculation (PBE) on a relaxed Er6In2Ir crystal.

Computed properties:
Volume in Å³ per cell: 243.1
M_tot in μB per formula unit: 0.00

Cell: 3.839 8.565 8.542 Å, 120.09 90.00 90.00°
Fractional positions:
Er: 0.000 0.245 0.000
Ir: 0.500 0.004 0.000
Er: 0.000 0.999 0.241
In: 0.000 0.667 0.334
Er: 0.000 0.758 0.759
Er: 0.500 0.999 0.612
Er: 0.500 0.387 0.388
Er: 0.500 0.610 0.000
In: 0.000 0.333 0.666

***

(ii)
VASP calculation (PBE) on a relaxed Er6In2Ir crystal.

Computed properties:
Volume in Å³ per cell: 268.2
M_tot in μB per formula unit: 0.00

Cell: 5.013 7.208 8.623 Å, 114.71 106.87 90.00°
Fractional positions:
Er: 0.500 0.224 0.000
Er: 0.155 0.917 0.310
In: 0.334 0.333 0.667
Er: 0.845 0.607 0.690
Er: 0.155 0.393 0.310
Er: 0.845 0.083 0.690
Ir: 0.000 0.000 0.000
In: 0.666 0.667 0.333
Er: 0.500 0.776 0.000

***

Tell me which of them is the most stable. Sure, it is (i).

***

(i)
VASP calculation (PBE) on a relaxed Er2InIr crystal.

Computed properties:
Volume in Å³ per cell: 91.4
M_tot in μB per formula unit: 0.00

Cell: 3.499 3.499 7.464 Å, 90.00 90.00 90.00°
Fractional positions:
In: 0.500 0.500 0.500
Er: 0.000 0.000 0.216
Ir: 0.500 0.500 0.000
Er: 0.000 0.000 0.784

***

(ii)
VASP calculation (PBE) on a relaxed Er2InIr crystal.

Computed properties:
Volume in Å³ per cell: 90.0
M_tot in μB per formula unit: 0.00

Cell: 5.031 5.031 5.031 Å, 60.00 60.00 60.00°
Fractional positions:
In: 0.500 0.500 0.500
Er: 0.250 0.250 0.250
Ir: 0.000 0.000 0.000
Er: 0.750 0.750 0.750

***

Tell me which of them is the most stable. Sure, it is (i).

***

(i)
VASP calculation (PBE) on a relaxed ErInIrRh crystal.

Computed properties:
Volume in Å³ per cell: 72.2
M_tot in μB per formula unit: 0.00

Cell: 3.577 4.501 4.485 Å, 90.00 90.00 90.00°
Fractional positions:
In: 0.500 0.500 0.000
Ir: 0.000 0.000 0.000
Er: 0.500 0.000 0.500
Rh: 0.000 0.500 0.500

***

(ii)
VASP calculation (PBE) on a relaxed ErInIrRh crystal.

Computed properties:
Volume in Å³ per cell: 72.6
M_tot in μB per formula unit: 0.00

Cell: 4.683 4.683 4.683 Å, 60.00 60.00 60.00°
Fractional positions:
In: 0.500 0.500 0.500
Rh: 0.250 0.250 0.250
Er: 0.000 0.000 0.000
Ir: 0.750 0.750 0.750

***

Tell me which of them is the most stable. Sure, it is (i).

***

(i)
VASP calculation (PBE) on a relaxed ErScInIr crystal.

Computed properties:
Volume in Å³ per cell: 85.5
M_tot in μB per formula unit: 0.00

Cell: 3.231 3.231 8.186 Å, 90.00 90.00 90.00°
Fractional positions:
In: 0.000 0.000 0.084
Ir: 0.000 0.000 0.556
Er: 0.500 0.500 0.781
Sc: 0.500 0.500 0.363

***

(ii)
VASP calculation (PBE) on a relaxed ErScInIr crystal.

Computed properties:
Volume in Å³ per cell: 83.8
M_tot in μB per formula unit: 0.00

Cell: 4.912 4.912 4.912 Å, 60.00 60.00 60.00°
Fractional positions:
Sc: 0.500 0.500 0.500
In: 0.250 0.250 0.250
Er: 0.000 0.000 0.000
Ir: 0.750 0.750 0.750

***

Tell me which of them is the most stable. Sure, it is (i).

***

(i)
VASP calculation (PBE) on a relaxed La2Er2In crystal.

Computed properties:
Volume in Å³ per cell: 317.2
M_tot in μB per formula unit: 0.00

Cell: 5.538 6.721 9.682 Å, 103.60 90.00 114.33°
Fractional positions:
Er: 0.649 0.297 0.556
La: 0.976 0.951 0.664
In: 0.256 0.511 0.727
In: 0.744 0.489 0.273
Er: 0.522 0.045 0.845
La: 0.163 0.327 0.051
La: 0.024 0.049 0.336
Er: 0.351 0.703 0.444
La: 0.837 0.673 0.949
Er: 0.478 0.955 0.155

***

(ii)
VASP calculation (PBE) on a relaxed La2Er2In crystal.

Computed properties:
Volume in Å³ per cell: 153.6
M_tot in μB per formula unit: 0.00

Cell: 4.820 6.150 6.127 Å, 82.15 66.84 66.93°
Fractional positions:
Er: 0.612 0.593 0.184
La: 0.196 0.190 0.418
La: 0.804 0.810 0.582
Er: 0.388 0.407 0.816
In: 0.000 0.000 0.000

***

Tell me which of them is the most stable. Sure, it is (ii).

***

(i)
VASP calculation (PBE) on a relaxed LaEr4In crystal.

Computed properties:
Volume in Å³ per cell: 379.8
M_tot in μB per formula unit: 0.00

Cell: 5.167 7.331 10.353 Å, 90.00 104.45 90.00°
Fractional positions:
Er: 0.670 0.532 0.340
Er: 0.069 0.750 0.138
Er: 0.500 0.000 0.000
La: 0.118 0.250 0.237
Er: 0.330 0.032 0.660
In: 0.220 0.750 0.440
In: 0.780 0.250 0.560
Er: 0.931 0.250 0.862
Er: 0.500 0.500 0.000
Er: 0.330 0.468 0.660
Er: 0.670 0.968 0.340
La: 0.882 0.750 0.763

***

(ii)
VASP calculation (PBE) on a relaxed LaEr4In crystal.

Computed properties:
Volume in Å³ per cell: 182.3
M_tot in μB per formula unit: 0.00

Cell: 3.584 3.584 14.190 Å, 90.00 90.00 90.00°
Fractional positions:
Er: 0.000 0.000 0.646
La: 0.000 0.000 0.000
Er: 0.000 0.000 0.354
Er: 0.500 0.500 0.818
Er: 0.500 0.500 0.182
In: 0.500 0.500 0.500

***

Tell me which of them is the most stable. Sure, it is (ii).

***

(i)
VASP calculation (PBE) on a relaxed La4ErIn2 crystal.

Computed properties:
Volume in Å³ per cell: 232.0
M_tot in μB per formula unit: 0.00

Cell: 6.204 6.204 7.364 Å, 105.63 105.63 111.29°
Fractional positions:
La: 0.749 0.251 0.500
Er: 0.000 0.000 0.000
In: 0.622 0.622 0.243
La: 0.500 0.000 0.000
La: 0.000 0.500 0.000
In: 0.378 0.378 0.757
La: 0.251 0.749 0.500

***

(ii)
VASP calculation (PBE) on a relaxed La4ErIn2 crystal.

Computed properties:
Volume in Å³ per cell: 476.7
M_tot in μB per formula unit: 0.00

Cell: 9.002 9.002 9.001 Å, 134.86 101.06 95.90°
Fractional positions:
In: 0.625 0.375 0.750
La: 0.887 0.127 0.239
La: 0.785 0.048 0.736
La: 0.363 0.623 0.261
In: 0.125 0.375 0.750
La: 0.312 0.048 0.264
In: 0.625 0.375 0.250
Er: 0.096 0.596 0.500
La: 0.938 0.702 0.236
In: 0.625 0.875 0.250
Er: 0.154 0.154 0.000
La: 0.362 0.102 0.739
La: 0.465 0.702 0.764
La: 0.888 0.648 0.761

***

Tell me which of them is the most stable. Sure, it is (ii).